1.
Here is a crystal of Cd8Au relaxed with PBEsol from Alexandria. Energies are from meta-GGA SCAN.

Unit cell a=9.1422 b=9.1422 c=4.3166 alpha=90.00 beta=90.00 gamma=90.00
With the nearest neighbours (Å) after each atom.
Space group I4/mmm (No. 139)
Inequivalent atoms, fractional coordinates:
1 Cd 0.0000 0.3298 0.0000 [8 per cell]  1 Au 3.02, 11 Cd 3.03-3.11
2 Cd 0.1637 0.1637 0.5000 [8 per cell]  10 Cd 2.99-3.10, 2 Au 3.02
3 Au 0.0000 0.0000 0.0000 [2 per cell]  12 Cd 3.02

Output
- DFT formation energy (eV per atom) = -0.034
- DOS(E_F) (states/eV/f.u.) = 3.2
- total energy (eV per atom) = -34.753

---

2.
Here is a crystal of Sr3InS relaxed with PBEsol from Alexandria. Energies are from meta-GGA SCAN.

Unit cell a=5.6528 b=5.6528 c=5.6528 alpha=90.00 beta=90.00 gamma=90.00
With the nearest neighbours (Å) after each atom.
Space group Pm-3m (No. 221)
Inequivalent atoms, fractional coordinates:
1 Sr 0.0000 0.0000 0.5000 [3 per cell]  2 S 2.83
2 In 0.5000 0.5000 0.5000 [1 per cell]  12 Sr 4.00
3 S 0.0000 0.0000 0.0000 [1 per cell]  6 Sr 2.83

Output
- DOS(E_F) (states/eV/f.u.) = 5.1
- formation energy from raw total energies (eV/atom) = -1.074
- total energy (eV per atom) = -23.042

---

- What is the total energy in the second record?
  -23.042 eV per atom